This record from OQMD describes an optimized crystal structure of RbTmInSe3. The functional is GGA-PBE.

Calculated values
Total moment (μB/f.u.): 0.00
DFT total energy (eV per atom): -4.373
Density (g/cm³): 5.20
SG: Pnma, No. 62
Distance to the lowest polymorph of the same formula (eV per atom): 0.000

```
24
Lattice="15.9196 0.0000 0.0000 0.0000 4.0696 0.0000 0.0000 0.0000 11.9516" Properties=species:S:1:pos:R:3 pbc="T T T"
Rb 3.6716 1.0174 0.9079
Rb 4.2881 3.0522 6.8837
Rb 11.6314 1.0174 5.0679
Rb 12.2479 3.0522 11.0437
Tm 0.0142 3.0522 7.7008
Tm 7.9456 1.0174 1.7250
Tm 7.9740 3.0522 10.2266
Tm 15.9054 1.0174 4.2508
In 0.4171 1.0174 10.7811
In 7.5426 3.0522 4.8053
In 8.3769 1.0174 7.1463
In 15.5024 3.0522 1.1705
Se 1.5486 3.0522 2.9450
Se 1.5749 1.0174 6.5462
Se 1.9914 3.0522 9.8830
Se 5.9684 1.0174 3.9072
Se 6.3849 3.0522 0.5704
Se 6.4112 1.0174 8.9208
Se 9.5084 3.0522 3.0308
Se 9.5347 1.0174 11.3811
Se 9.9511 3.0522 8.0444
Se 13.9282 1.0174 2.0686
Se 14.3447 3.0522 5.4053
Se 14.3710 1.0174 9.0066
```


This record from OQMD describes an optimized crystal structure of RbTmInSe3. The functional is GGA-PBE.

Calculated values
Total moment (μB/f.u.): 0.02
DFT total energy (eV per atom): -4.261
Density (g/cm³): 5.13
SG: Cmcm, No. 63
Distance to the lowest polymorph of the same formula (eV per atom): 0.111

```
12
Lattice="2.0892 -8.0806 0.0000 2.0892 8.0806 0.0000 0.0000 0.0000 11.6121" Properties=species:S:1:pos:R:3 pbc="T T T"
Rb 2.0892 4.5939 8.7091
Rb 2.0892 -4.5939 2.9030
Tm 2.0892 0.0000 0.0000
Tm 2.0892 0.0000 5.8061
In 2.0892 6.7189 2.9030
In 2.0892 -6.7189 8.7091
Se 2.0892 6.1486 0.1921
Se 2.0892 6.1486 5.6140
Se 2.0892 0.4575 2.9030
Se 2.0892 -0.4575 8.7091
Se 2.0892 -6.1486 5.9981
Se 2.0892 -6.1486 11.4201
```


This record from OQMD describes an optimized crystal structure of Rb2InWSe6. The functional is GGA-PBE.

Calculated values
Total moment (μB/f.u.): 0.02
DFT total energy (eV per atom): -3.850
Density (g/cm³): 4.99
SG: P4/mmm, No. 123

```
10
Lattice="4.5546 0.0000 0.0000 0.0000 4.5546 0.0000 0.0000 0.0000 15.1422" Properties=species:S:1:pos:R:3 pbc="T T T"
Rb 0.0000 0.0000 3.2910
Rb 0.0000 0.0000 11.8513
In 2.2773 2.2773 0.0000
W 2.2773 2.2773 7.5711
Se 0.0000 0.0000 0.0000
Se 0.0000 0.0000 7.5711
Se 0.0000 2.2773 5.9612
Se 0.0000 2.2773 9.1811
Se 2.2773 0.0000 5.9612
Se 2.2773 0.0000 9.1811
```


This record from OQMD describes an optimized crystal structure of RbZrInSe3. The functional is GGA-PBE.

Calculated values
Total moment (μB/f.u.): 1.54
DFT total energy (eV per atom): -4.598
Density (g/cm³): 5.07
SG: Cmcm, No. 63

```
12
Lattice="2.0257 -8.2234 0.0000 2.0257 8.2234 0.0000 0.0000 0.0000 10.3933" Properties=species:S:1:pos:R:3 pbc="T T T"
Rb 2.0257 4.2622 7.7950
Rb 2.0257 -4.2622 2.5983
Zr 0.0000 0.0000 0.0000
Zr 0.0000 0.0000 5.1966
In 2.0257 0.5071 2.5983
In 2.0257 -0.5071 7.7950
Se 2.0257 6.9015 2.5983
Se 2.0257 1.9656 0.3724
Se 2.0257 1.9656 4.8243
Se 2.0257 -1.9656 5.5690
Se 2.0257 -1.9656 10.0209
Se 2.0257 -6.9015 7.7950
```


This record from OQMD describes an optimized crystal structure of RbTbInTe3. The functional is GGA-PBE.

Calculated values
Total moment (μB/f.u.): 0.01
DFT total energy (eV per atom): -3.865
Density (g/cm³): 5.31
SG: Cmcm, No. 63

```
12
Lattice="2.2901 -8.2575 0.0000 2.2901 8.2575 0.0000 0.0000 0.0000 12.2660" Properties=species:S:1:pos:R:3 pbc="T T T"
Rb 2.2901 4.1970 9.1995
Rb 2.2901 -4.1970 3.0665
Tb 2.2901 0.0000 0.0000
Tb 2.2901 0.0000 6.1330
In 2.2901 7.3122 3.0665
In 2.2901 -7.3122 9.1995
Te 2.2901 6.1394 0.3390
Te 2.2901 6.1394 5.7940
Te 2.2901 0.9321 3.0665
Te 2.2901 -0.9321 9.1995
Te 2.2901 -6.1394 6.4720
Te 2.2901 -6.1394 11.9271
```


This record from OQMD describes an optimized crystal structure of RbInTc4. The functional is GGA-PBE.

Calculated values
Total moment (μB/f.u.): 1.97
DFT total energy (eV per atom): -5.246
Density (g/cm³): 6.47
SG: Cmmm, No. 65

```
6
Lattice="3.7164 -3.7688 0.0000 3.7164 3.7688 0.0000 0.0000 0.0000 5.4276" Properties=species:S:1:pos:R:3 pbc="T T T"
Rb 0.0000 0.0000 0.0000
In 3.7164 0.0000 2.7138
Tc 1.0646 0.0000 2.7138
Tc 3.7164 1.0405 0.0000
Tc 3.7164 -1.0405 0.0000
Tc 6.3682 0.0000 2.7138
```


This record from OQMD describes an optimized crystal structure of RbTmInTe3. The functional is GGA-PBE.

Calculated values
Total moment (μB/f.u.): 0.01
DFT total energy (eV per atom): -3.813
Density (g/cm³): 5.48
SG: Cmcm, No. 63

```
12
Lattice="2.2608 -8.2852 0.0000 2.2608 8.2852 0.0000 0.0000 0.0000 12.1602" Properties=species:S:1:pos:R:3 pbc="T T T"
Rb 2.2608 4.1939 9.1201
Rb 2.2608 -4.1939 3.0400
Tm 2.2608 0.0000 0.0000
Tm 2.2608 0.0000 6.0801
In 2.2608 7.2921 3.0400
In 2.2608 -7.2921 9.1201
Te 2.2608 6.1893 0.2900
Te 2.2608 6.1893 5.7901
Te 2.2608 0.9032 3.0400
Te 2.2608 -0.9032 9.1201
Te 2.2608 -6.1893 6.3701
Te 2.2608 -6.1893 11.8702
```


This record from OQMD describes an optimized crystal structure of RbThIn. The functional is GGA-PBE.

Calculated values
Total moment (μB/f.u.): 0.01
DFT total energy (eV per atom): -3.012
Density (g/cm³): 5.85
SG: F-43m, No. 216

```
3
Lattice="0.0000 3.9442 3.9442 3.9442 0.0000 3.9442 3.9442 3.9442 0.0000" Properties=species:S:1:pos:R:3 pbc="T T T"
Rb 0.0000 0.0000 0.0000
Th 3.9442 3.9442 3.9442
In 1.9721 1.9721 1.9721
```


- Which value of DFT total energy does entry 7 give?
  -3.813 eV per atom


- What is the formula in the fifth record?
  RbTbInTe3